Material: LaTi2N4
Method: DFT, PBE-GGA
State: relaxed

**Volume**: 113.59 Å³ per cell
**VASP energy**: -7.7176 eV per atom
**DOS at the Fermi energy**: 0.3233 states/eV/atom

Cell: 6.347 6.347 6.347 Å, 137.92 137.92 61.03°
Fractional coordinates of all 7 atoms:
La (0.000, 0.000, 0.000)
Ti (0.377, 0.377, 0.000)
Ti (0.623, 0.623, 0.000)
N (0.000, 0.500, 0.500)
N (0.226, 0.226, 0.000)
N (0.500, 0.000, 0.500)
N (0.774, 0.774, 0.000)